1.
A relaxed LiBiH3 crystal, computed with PBE.

abc: 4.3838 4.3838 4.3838
angles: 90.00 90.00 90.00
With the nearest neighbours (Å) after each atom.
Atoms (fractional coordinates):
Li (0.0000, 0.0000, 0.0000)  12 H 3.10
Bi (0.5000, 0.5000, 0.5000)  6 H 2.19
H (0.0000, 0.5000, 0.5000)  2 Bi 2.19
H (0.5000, 0.0000, 0.5000)  2 Bi 2.19
H (0.5000, 0.5000, 0.0000)  2 Bi 2.19

* polymorph energy (0 for the lowest one): 0.701 eV per formula unit
* space-group type: Pm-3m (221)

2.
A relaxed CdCo2Ag crystal, computed with PBE.

abc: 4.4012 4.4012 4.4012
angles: 60.00 60.00 60.00
With the nearest neighbours (Å) after each atom.
Atoms (fractional coordinates):
Cd (0.0000, 0.0000, 0.0000)  4 Co 2.70, 4 Ag 2.70
Co (0.5000, 0.5000, 0.5000)  4 Co 2.70, 4 Ag 2.70
Co (0.7500, 0.7500, 0.7500)  4 Cd 2.70, 4 Co 2.70
Ag (0.2500, 0.2500, 0.2500)  4 Cd 2.70, 4 Co 2.70

* formation energy: 0.427 eV per atom
* space-group type: F-43m (216)

3.
A relaxed CaNdGdGa crystal, computed with PBE.

abc: 5.4355 5.4355 5.4355
angles: 60.00 60.00 60.00
With the nearest neighbours (Å) after each atom.
Atoms (fractional coordinates):
Ca (0.0000, 0.0000, 0.0000)  4 Gd 3.33, 4 Nd 3.33
Nd (0.7500, 0.7500, 0.7500)  4 Ga 3.33, 4 Ca 3.33
Gd (0.2500, 0.2500, 0.2500)  4 Ga 3.33, 4 Ca 3.33
Ga (0.5000, 0.5000, 0.5000)  4 Nd 3.33, 4 Gd 3.33

* formation energy: -0.118 eV per atom
* space-group type: F-43m (216)

Result set for final energy: -2.734; -4.068; -6.087 eV/atom, one per record in the order listed.
Result set for density: 4.32; 9.31; 6.01 Mg/m³, one per record in the order listed.